The following is a PBE-GGA calculation of a relaxed Nd2Al3Zn crystal, from the Alexandria database.

a = 5.9470 Å, b = 5.9470 Å, c = 9.1248 Å
α = 112.65°, β = 112.65°, γ = 79.54°
Closest atoms and distances in Å follow each position.
Element x y z (fractional)
Nd (0.7500, 0.2500, 0.5000)  8 Al 3.24-3.25, 4 Zn 3.25
Nd (0.7478, 0.2522, 0.0000)  2 Zn 3.24, 10 Al 3.24-3.27
Nd (0.2500, 0.7500, 0.5000)  8 Al 3.24-3.25, 4 Zn 3.25
Nd (0.2522, 0.7478, 0.0000)  2 Zn 3.24, 10 Al 3.24-3.27
Al (0.8334, 0.8334, 0.1681)  1 Zn 2.63, 2 Al 2.64-2.66
Al (0.6653, 0.6653, 0.8319)  1 Zn 2.63, 2 Al 2.64-2.66
Al (0.1666, 0.1666, 0.8319)  1 Zn 2.63, 2 Al 2.64-2.66
Al (0.3347, 0.3347, 0.1681)  1 Zn 2.63, 2 Al 2.64-2.66
Al (0.1676, 0.1676, 0.3353)  1 Zn 2.62, 2 Al 2.64
Al (0.8324, 0.8324, 0.6647)  1 Zn 2.62, 2 Al 2.64
Zn (0.6668, 0.6668, 0.3336)  3 Al 2.62-2.63
Zn (0.3332, 0.3332, 0.6664)  3 Al 2.62-2.63

Formation energy from the elements, eV/atom: -0.457



The following is a PBE-GGA calculation of a relaxed Nd3AlZn4 crystal, from the Alexandria database.

a = 4.7875 Å, b = 4.9618 Å, c = 9.2052 Å
α = 105.64°, β = 105.07°, γ = 90.00°
Closest atoms and distances in Å follow each position.
Element x y z (fractional)
Nd (0.2067, 0.2067, 0.4134)  6 Zn 3.05-3.10
Nd (0.7933, 0.7933, 0.5866)  6 Zn 3.05-3.10
Nd (0.0000, 0.5000, 0.0000)  8 Zn 3.42, 4 Al 3.45
Al (0.5000, 0.0000, 0.0000)  4 Zn 2.50
Zn (0.3746, 0.6143, 0.7493)  2 Zn 2.38-2.58, 1 Al 2.50
Zn (0.6254, 0.3857, 0.2507)  2 Zn 2.38-2.58, 1 Al 2.50
Zn (0.6254, 0.8650, 0.2507)  2 Zn 2.38-2.58, 1 Al 2.50
Zn (0.3746, 0.1349, 0.7493)  2 Zn 2.38-2.58, 1 Al 2.50

Formation energy from the elements, eV/atom: -0.134



The following is a PBE-GGA calculation of a relaxed Nd2AlZn crystal, from the Alexandria database.

a = 3.6752 Å, b = 3.6752 Å, c = 7.5561 Å
α = 90.00°, β = 90.00°, γ = 90.00°
Closest atoms and distances in Å follow each position.
Element x y z (fractional)
Zn (0.5000, 0.5000, 0.0000)  8 Nd 3.19
Nd (0.0000, 0.0000, 0.7542)  4 Zn 3.19, 4 Al 3.23
Nd (0.0000, 0.0000, 0.2458)  4 Zn 3.19, 4 Al 3.23
Al (0.5000, 0.5000, 0.5000)  8 Nd 3.23

Formation energy from the elements, eV/atom: -0.330



The following is a PBE-GGA calculation of a relaxed Nd3Al8Zn3 crystal, from the Alexandria database.

a = 4.3556 Å, b = 8.4054 Å, c = 8.4054 Å
α = 74.52°, β = 74.98°, γ = 74.98°
Closest atoms and distances in Å follow each position.
Element x y z (fractional)
Nd (0.5000, 0.5000, 0.5000)  12 Al 3.28-3.29, 4 Zn 3.61
Nd (0.8172, 0.1828, 0.1828)  4 Zn 3.18-3.20, 8 Al 3.20-3.21
Nd (0.1828, 0.8172, 0.8172)  4 Zn 3.18-3.20, 8 Al 3.20-3.21
Al (0.6311, 0.0910, 0.6467)  3 Al 2.68-2.76, 3 Zn 2.74-2.80
Al (0.3689, 0.9090, 0.3533)  3 Al 2.68-2.76, 3 Zn 2.74-2.80
Al (0.6311, 0.6467, 0.0910)  3 Al 2.68-2.76, 3 Zn 2.74-2.80
Al (0.3689, 0.3533, 0.9090)  3 Al 2.68-2.76, 3 Zn 2.74-2.80
Al (0.8361, 0.7943, 0.5334)  1 Zn 2.59, 4 Al 2.65-2.76
Al (0.1639, 0.2057, 0.4666)  1 Zn 2.59, 4 Al 2.65-2.76
Al (0.8361, 0.5334, 0.7943)  1 Zn 2.59, 4 Al 2.65-2.76
Al (0.1639, 0.4666, 0.2057)  1 Zn 2.59, 4 Al 2.65-2.76
Zn (0.5000, 0.0000, 0.0000)  4 Al 2.80, 4 Zn 3.10
Zn (0.0000, 0.7825, 0.2175)  6 Al 2.59-2.74
Zn (0.0000, 0.2175, 0.7825)  6 Al 2.59-2.74

Formation energy from the elements, eV/atom: -0.383



Respective energy values: -0.1518; -0.1112; -0.1458; -0.1403 hartree per atom.